Density functional theory data (PBE-GGA) for CaScGa after structural relaxation.

Calculated values
- V (Å³ per cell) = 143.2
- E above lowest polymorph (meV per atom) = 53
- space-group type = P6_3/mmc (194)

Unit cell a=4.973 b=4.973 c=6.685 alpha=90.00 beta=90.00 gamma=120.00
Atoms (fractional coordinates):
Sc1 0.667 0.333 0.250
Sc2 0.333 0.667 0.750
Ga1 0.667 0.333 0.750
Ga2 0.333 0.667 0.250
Ca1 0.000 0.000 0.500
Ca2 0.000 0.000 0.000